# 1
# LaMg2Be PBE-GGA optimized geometry
data_LaMg2Be
_cell_length_a 6.374
_cell_length_b 6.374
_cell_length_c 5.197
_cell_angle_alpha 65.89
_cell_angle_beta 65.89
_cell_angle_gamma 28.24
_symmetry_space_group_name_H-M 'P 1'
_symmetry_Int_Tables_number 1
loop_
_symmetry_equiv_pos_as_xyz
'x,y,z'
loop_
_atom_site_label
_atom_site_type_symbol
_atom_site_fract_x
_atom_site_fract_y
_atom_site_fract_z
Be1 Be 0.750 0.750 0.750
Mg1 Mg 0.047 0.047 0.953
Mg2 Mg 0.453 0.453 0.547
La1 La 0.250 0.250 0.250
# Crystal system = orthorhombic
# V = 90.61 Å³/cell
# Electronic total energy = -11.3 eV for the cell shown


# 2
# LaMgBe4 PBE-GGA optimized geometry
data_LaMgBe4
_cell_length_a 5.024
_cell_length_b 5.024
_cell_length_c 5.024
_cell_angle_alpha 60.00
_cell_angle_beta 60.00
_cell_angle_gamma 60.00
_symmetry_space_group_name_H-M 'P 1'
_symmetry_Int_Tables_number 1
loop_
_symmetry_equiv_pos_as_xyz
'x,y,z'
loop_
_atom_site_label
_atom_site_type_symbol
_atom_site_fract_x
_atom_site_fract_y
_atom_site_fract_z
La1 La 0.750 0.750 0.750
Mg1 Mg 0.000 0.000 0.000
Be1 Be 0.865 0.378 0.378
Be2 Be 0.378 0.378 0.865
Be3 Be 0.378 0.865 0.378
Be4 Be 0.378 0.378 0.378
# Crystal system = cubic
# V = 89.68 Å³/cell
# Electronic total energy = -19.9 eV for the cell shown


# 3
# La2MgBe2 PBE-GGA optimized geometry
data_La2MgBe2
_cell_length_a 5.727
_cell_length_b 5.727
_cell_length_c 5.519
_cell_angle_alpha 58.75
_cell_angle_beta 58.75
_cell_angle_gamma 90.00
_symmetry_space_group_name_H-M 'P 1'
_symmetry_Int_Tables_number 1
loop_
_symmetry_equiv_pos_as_xyz
'x,y,z'
loop_
_atom_site_label
_atom_site_type_symbol
_atom_site_fract_x
_atom_site_fract_y
_atom_site_fract_z
Be1 Be 0.368 0.368 0.264
Be2 Be 0.632 0.632 0.736
Mg1 Mg 0.000 0.000 0.000
La1 La 0.750 0.250 0.500
La2 La 0.250 0.750 0.500
# Crystal system = tetragonal
# Energy above the lowest structure with this stoichiometry = 0.148 eV per atom
# V = 123.00 Å³/cell


# 4
# LaMgBeN2 PBE-GGA optimized geometry
data_LaMgBeN2
_cell_length_a 4.105
_cell_length_b 5.720
_cell_length_c 6.028
_cell_angle_alpha 102.96
_cell_angle_beta 90.00
_cell_angle_gamma 90.00
_symmetry_space_group_name_H-M 'P 1'
_symmetry_Int_Tables_number 1
loop_
_symmetry_equiv_pos_as_xyz
'x,y,z'
loop_
_atom_site_label
_atom_site_type_symbol
_atom_site_fract_x
_atom_site_fract_y
_atom_site_fract_z
La1 La 0.229 0.500 0.750
La2 La 0.771 0.500 0.250
Mg1 Mg 0.485 0.000 0.250
Mg2 Mg 0.515 0.000 0.750
Be1 Be 0.000 0.000 0.000
Be2 Be 0.000 0.000 0.500
N1 N 0.749 0.789 0.957
N2 N 0.749 0.211 0.543
N3 N 0.251 0.789 0.457
N4 N 0.251 0.211 0.043
# Crystal system = monoclinic
# Uncorrected formation energy = -0.761 eV/atom
# V = 137.94 Å³/cell


# 5
# LaMgBeO2 PBE-GGA optimized geometry
data_LaMgBeO2
_cell_length_a 4.081
_cell_length_b 4.355
_cell_length_c 4.081
_cell_angle_alpha 90.00
_cell_angle_beta 90.00
_cell_angle_gamma 90.00
_symmetry_space_group_name_H-M 'P 1'
_symmetry_Int_Tables_number 1
loop_
_symmetry_equiv_pos_as_xyz
'x,y,z'
loop_
_atom_site_label
_atom_site_type_symbol
_atom_site_fract_x
_atom_site_fract_y
_atom_site_fract_z
Be1 Be 0.000 0.500 0.000
Mg1 Mg 0.000 0.000 0.000
O1 O 0.000 0.000 0.500
O2 O 0.500 0.000 0.000
La1 La 0.500 0.500 0.500
# Crystal system = tetragonal
# Uncorrected formation energy = -1.039 eV/atom
# V = 72.53 Å³/cell


# 6
# LaMg2BePb PBE-GGA optimized geometry
data_LaMg2BePb
_cell_length_a 5.980
_cell_length_b 4.953
_cell_length_c 5.980
_cell_angle_alpha 90.00
_cell_angle_beta 90.00
_cell_angle_gamma 90.00
_symmetry_space_group_name_H-M 'P 1'
_symmetry_Int_Tables_number 1
loop_
_symmetry_equiv_pos_as_xyz
'x,y,z'
loop_
_atom_site_label
_atom_site_type_symbol
_atom_site_fract_x
_atom_site_fract_y
_atom_site_fract_z
Pb1 Pb 0.500 0.500 0.500
Be1 Be 0.000 0.500 0.000
Mg1 Mg 0.000 0.000 0.500
Mg2 Mg 0.500 0.000 0.000
La1 La 0.000 0.000 0.000
# Crystal system = tetragonal
# V = 177.12 Å³/cell
# Electronic total energy = -9.6 eV for the cell shown


# 7
# La2MgBePd6 PBE-GGA optimized geometry
data_La2MgBePd6
_cell_length_a 5.911
_cell_length_b 7.427
_cell_length_c 5.913
_cell_angle_alpha 66.66
_cell_angle_beta 59.93
_cell_angle_gamma 90.05
_symmetry_space_group_name_H-M 'P 1'
_symmetry_Int_Tables_number 1
loop_
_symmetry_equiv_pos_as_xyz
'x,y,z'
loop_
_atom_site_label
_atom_site_type_symbol
_atom_site_fract_x
_atom_site_fract_y
_atom_site_fract_z
La1 La 0.743 0.227 0.514
La2 La 0.257 0.773 0.486
Mg1 Mg 0.000 0.000 0.000
Be1 Be 0.500 0.500 0.000
Pd1 Pd 0.263 0.308 0.473
Pd2 Pd 0.736 0.690 0.048
Pd3 Pd 0.218 0.692 0.046
Pd4 Pd 0.782 0.308 0.954
Pd5 Pd 0.264 0.310 0.952
Pd6 Pd 0.737 0.692 0.527
# Crystal system = triclinic
# V = 199.66 Å³/cell
# Electronic total energy = -53.0 eV for the cell shown


# 8
# La2MgBe3Pt4 PBE-GGA optimized geometry
data_La2MgBe3Pt4
_cell_length_a 4.101
_cell_length_b 4.101
_cell_length_c 10.496
_cell_angle_alpha 90.00
_cell_angle_beta 90.00
_cell_angle_gamma 90.00
_symmetry_space_group_name_H-M 'P 1'
_symmetry_Int_Tables_number 1
loop_
_symmetry_equiv_pos_as_xyz
'x,y,z'
loop_
_atom_site_label
_atom_site_type_symbol
_atom_site_fract_x
_atom_site_fract_y
_atom_site_fract_z
La1 La 0.500 0.000 0.238
La2 La 0.000 0.500 0.762
Mg1 Mg 0.500 0.500 0.500
Be1 Be 0.000 0.000 0.500
Be2 Be 0.500 0.000 0.889
Be3 Be 0.000 0.500 0.111
Pt1 Pt 0.500 0.500 0.000
Pt2 Pt 0.000 0.000 0.000
Pt3 Pt 0.500 0.000 0.653
Pt4 Pt 0.000 0.500 0.347
# Crystal system = tetragonal
# V = 176.57 Å³/cell
# Electronic total energy = -55.2 eV for the cell shown